#1
{
  "formula": "Li2Ga3Pd3",
  "functional": "PBE-GGA",
  "state": "relaxed",
  "dos_at_fermi_per_ev_atom": 0.162,
  "space_group": "No. 193",
  "lattice_angstrom": [[5.022, 0.000, 0.000], [0.000, 6.482, -3.743], [0.000, 0.000, 7.485]],
  "species": ["Li", "Li", "Li", "Li", "Ga", "Ga", "Ga", "Ga", "Ga", "Ga", "Pd", "Pd", "Pd", "Pd", "Pd", "Pd"],
  "fractional_positions": [[0.000, 0.333, 0.667], [0.500, 0.667, 0.333], [0.000, 0.667, 0.333], [0.500, 0.333, 0.667], [0.750, 0.623, 0.000], [0.750, 0.377, 0.377], [0.750, 0.000, 0.623], [0.250, 0.377, 0.000], [0.250, 0.623, 0.623], [0.250, 0.000, 0.377], [0.750, 0.279, 0.000], [0.750, 0.721, 0.721], [0.750, 0.000, 0.279], [0.250, 0.721, 0.000], [0.250, 0.279, 0.279], [0.250, 0.000, 0.721]]
}

***

#2
{
  "formula": "Li2Ga3Pd3",
  "functional": "PBE-GGA",
  "state": "relaxed",
  "dos_at_fermi_per_ev_atom": 0.432,
  "space_group": "No. 63",
  "lattice_angstrom": [[4.192, 0.000, 0.000], [-2.096, 4.646, 0.000], [0.000, 0.000, 12.289]],
  "species": ["Li", "Li", "Li", "Li", "Ga", "Ga", "Ga", "Ga", "Ga", "Ga", "Pd", "Pd", "Pd", "Pd", "Pd", "Pd"],
  "fractional_positions": [[0.795, 0.590, 0.869], [0.205, 0.410, 0.369], [0.795, 0.590, 0.631], [0.205, 0.410, 0.131], [0.619, 0.237, 0.450], [0.381, 0.763, 0.950], [0.619, 0.237, 0.050], [0.381, 0.763, 0.550], [0.438, 0.877, 0.250], [0.562, 0.123, 0.750], [0.906, 0.811, 0.414], [0.094, 0.189, 0.914], [0.906, 0.811, 0.086], [0.094, 0.189, 0.586], [0.708, 0.417, 0.250], [0.292, 0.583, 0.750]]
}

***

Of them, #1 has the highest stability.

***

#1
{
  "formula": "Li3Ga2Pd2",
  "functional": "PBE-GGA",
  "state": "relaxed",
  "dos_at_fermi_per_ev_atom": 0.353,
  "space_group": "No. 12",
  "lattice_angstrom": [[4.104, -0.014, -1.299], [-2.247, 3.672, -0.029], [-0.087, -0.045, 6.753]],
  "species": ["Li", "Li", "Li", "Ga", "Ga", "Pd", "Pd"],
  "fractional_positions": [[0.000, 0.000, 0.000], [0.718, 0.859, 0.576], [0.282, 0.141, 0.424], [0.157, 0.578, 0.736], [0.843, 0.422, 0.264], [0.435, 0.717, 0.152], [0.565, 0.283, 0.848]]
}

***

#2
{
  "formula": "Li3Ga2Pd2",
  "functional": "PBE-GGA",
  "state": "relaxed",
  "dos_at_fermi_per_ev_atom": 0.354,
  "space_group": "No. 12",
  "lattice_angstrom": [[4.329, 0.000, 0.000], [-2.165, 3.726, -0.225], [0.000, -2.133, 6.424]],
  "species": ["Li", "Li", "Li", "Ga", "Ga", "Pd", "Pd"],
  "fractional_positions": [[0.500, 0.000, 0.000], [0.642, 0.284, 0.427], [0.358, 0.716, 0.573], [0.781, 0.562, 0.842], [0.219, 0.438, 0.158], [0.919, 0.839, 0.260], [0.081, 0.161, 0.740]]
}

***

Of them, #1 has the highest stability.

***

#1
{
  "formula": "Li2GaPd3",
  "functional": "PBE-GGA",
  "state": "relaxed",
  "dos_at_fermi_per_ev_atom": 0.415,
  "space_group": "No. 15",
  "lattice_angstrom": [[5.198, 0.000, 0.000], [0.000, 5.043, 0.064], [-2.599, -1.188, 6.581]],
  "species": ["Li", "Li", "Li", "Li", "Ga", "Ga", "Pd", "Pd", "Pd", "Pd", "Pd", "Pd"],
  "fractional_positions": [[0.550, 0.556, 0.336], [0.786, 0.056, 0.336], [0.214, 0.944, 0.664], [0.450, 0.444, 0.664], [0.844, 0.750, 0.000], [0.156, 0.250, 0.000], [0.648, 0.250, 0.000], [0.352, 0.750, 0.000], [0.283, 0.067, 0.333], [0.950, 0.433, 0.667], [0.050, 0.567, 0.333], [0.717, 0.933, 0.667]]
}

***

#2
{
  "formula": "Li2GaPd3",
  "functional": "PBE-GGA",
  "state": "relaxed",
  "dos_at_fermi_per_ev_atom": 0.177,
  "space_group": "No. 10",
  "lattice_angstrom": [[-0.458, 3.200, 2.831], [-5.314, -1.446, 3.983], [3.609, -2.833, 3.787]],
  "species": ["Li", "Li", "Li", "Li", "Ga", "Ga", "Pd", "Pd", "Pd", "Pd", "Pd", "Pd"],
  "fractional_positions": [[0.000, 0.000, 0.000], [0.000, 0.000, 0.500], [0.333, 0.334, 0.500], [0.667, 0.666, 0.500], [0.340, 0.319, 0.000], [0.660, 0.681, 0.000], [0.831, 0.338, 0.751], [0.500, 0.000, 0.255], [0.169, 0.662, 0.249], [0.831, 0.338, 0.249], [0.169, 0.662, 0.751], [0.500, 0.000, 0.745]]
}

***

Of them, #2 has the highest stability.

***

#1
{
  "formula": "LiGa3Pd3",
  "functional": "PBE-GGA",
  "state": "relaxed",
  "dos_at_fermi_per_ev_atom": 0.385,
  "space_group": "No. 62",
  "lattice_angstrom": [[-0.854, 3.566, -0.498], [-7.205, -0.598, 8.071], [7.623, 2.805, 7.013]],
  "species": ["Li", "Li", "Li", "Li", "Ga", "Ga", "Ga", "Ga", "Ga", "Ga", "Ga", "Ga", "Ga", "Ga", "Ga", "Ga", "Pd", "Pd", "Pd", "Pd", "Pd", "Pd", "Pd", "Pd", "Pd", "Pd", "Pd", "Pd"],
  "fractional_positions": [[0.750, 0.929, 0.191], [0.250, 0.571, 0.691], [0.250, 0.071, 0.809], [0.750, 0.429, 0.309], [0.750, 0.937, 0.927], [0.250, 0.563, 0.427], [0.250, 0.063, 0.073], [0.750, 0.437, 0.573], [0.750, 0.908, 0.440], [0.250, 0.592, 0.940], [0.250, 0.092, 0.560], [0.750, 0.408, 0.060], [0.750, 0.693, 0.173], [0.250, 0.807, 0.673], [0.250, 0.307, 0.827], [0.750, 0.193, 0.327], [0.750, 0.728, 0.824], [0.250, 0.772, 0.324], [0.250, 0.272, 0.176], [0.750, 0.228, 0.676], [0.750, 0.190, 0.953], [0.250, 0.310, 0.453], [0.250, 0.810, 0.047], [0.750, 0.690, 0.547], [0.750, 0.963, 0.678], [0.250, 0.537, 0.178], [0.250, 0.037, 0.322], [0.750, 0.463, 0.822]]
}

***

#2
{
  "formula": "LiGa3Pd3",
  "functional": "PBE-GGA",
  "state": "relaxed",
  "dos_at_fermi_per_ev_atom": 0.469,
  "space_group": "No. 148",
  "lattice_angstrom": [[7.303, 0.000, 0.000], [3.651, 6.324, 0.000], [3.651, 2.108, 5.129]],
  "species": ["Li", "Li", "Ga", "Ga", "Ga", "Ga", "Ga", "Ga", "Pd", "Pd", "Pd", "Pd", "Pd", "Pd"],
  "fractional_positions": [[0.335, 0.335, 0.995], [0.665, 0.665, 0.005], [0.466, 0.758, 0.663], [0.758, 0.114, 0.663], [0.114, 0.466, 0.663], [0.886, 0.534, 0.337], [0.242, 0.886, 0.337], [0.534, 0.242, 0.337], [0.254, 0.630, 0.170], [0.946, 0.254, 0.170], [0.630, 0.946, 0.170], [0.370, 0.054, 0.830], [0.054, 0.746, 0.830], [0.746, 0.370, 0.830]]
}

***

Of them, #1 has the highest stability.

***

#1
{
  "formula": "LiGa6Pd2",
  "functional": "PBE-GGA",
  "state": "relaxed",
  "dos_at_fermi_per_ev_atom": 0.216,
  "space_group": "No. 2",
  "lattice_angstrom": [[4.773, -0.144, 1.288], [1.991, 4.644, 1.071], [-0.634, 0.490, 6.796]],
  "species": ["Li", "Ga", "Ga", "Ga", "Ga", "Ga", "Ga", "Pd", "Pd"],
  "fractional_positions": [[0.500, 0.500, 0.500], [0.448, 0.285, 0.922], [0.552, 0.715, 0.078], [0.016, 0.107, 0.180], [0.218, 0.157, 0.508], [0.984, 0.893, 0.820], [0.782, 0.843, 0.492], [0.917, 0.426, 0.806], [0.083, 0.574, 0.194]]
}

***

#2
{
  "formula": "LiGa6Pd2",
  "functional": "PBE-GGA",
  "state": "relaxed",
  "dos_at_fermi_per_ev_atom": 0.283,
  "space_group": "No. 14",
  "lattice_angstrom": [[-0.273, 2.785, -3.580], [-5.389, -3.788, -2.537], [-5.928, 4.593, 5.735]],
  "species": ["Li", "Li", "Ga", "Ga", "Ga", "Ga", "Ga", "Ga", "Ga", "Ga", "Ga", "Ga", "Ga", "Ga", "Pd", "Pd", "Pd", "Pd"],
  "fractional_positions": [[0.500, 0.500, 0.000], [0.000, 0.000, 0.500], [0.906, 0.957, 0.226], [0.892, 0.638, 0.579], [0.863, 0.757, 0.910], [0.637, 0.257, 0.590], [0.608, 0.138, 0.921], [0.594, 0.457, 0.274], [0.094, 0.043, 0.774], [0.108, 0.362, 0.421], [0.137, 0.243, 0.090], [0.363, 0.743, 0.410], [0.392, 0.862, 0.079], [0.406, 0.543, 0.726], [0.947, 0.405, 0.839], [0.553, 0.905, 0.661], [0.447, 0.095, 0.339], [0.053, 0.595, 0.161]]
}

***

Of them, #1 has the highest stability.

***

#1
{
  "formula": "SrLiGaPd2",
  "functional": "PBE-GGA",
  "state": "relaxed",
  "dos_at_fermi_per_ev_atom": 0.480,
  "space_group": "No. 123",
  "lattice_angstrom": [[4.847, 0.000, 0.000], [0.000, 4.847, 0.000], [0.000, 0.000, 4.692]],
  "species": ["Sr", "Ga", "Pd", "Pd", "Li"],
  "fractional_positions": [[0.500, 0.500, 0.500], [0.000, 0.000, 0.000], [0.000, 0.500, 0.000], [0.500, 0.000, 0.000], [0.000, 0.000, 0.500]]
}

***

#2
{
  "formula": "SrLiGaPd2",
  "functional": "PBE-GGA",
  "state": "relaxed",
  "dos_at_fermi_per_ev_atom": 0.186,
  "space_group": "No. 119",
  "lattice_angstrom": [[-3.942, 1.418, -0.791], [-0.828, 0.029, 4.182], [4.213, 4.538, -1.370]],
  "species": ["Sr", "Li", "Ga", "Pd", "Pd"],
  "fractional_positions": [[0.000, 0.000, 0.000], [0.750, 0.250, 0.500], [0.250, 0.750, 0.500], [0.623, 0.623, 0.245], [0.377, 0.377, 0.755]]
}

***

Of them, #2 has the highest stability.

***

#1
{
  "formula": "SrLiGaPd",
  "functional": "PBE-GGA",
  "state": "relaxed",
  "dos_at_fermi_per_ev_atom": 0.683,
  "space_group": "No. 160",
  "lattice_angstrom": [[-3.489, -2.685, -0.854], [4.021, -0.921, -1.758], [-0.326, -1.394, 5.715]],
  "species": ["Sr", "Li", "Ga", "Pd"],
  "fractional_positions": [[0.625, 0.249, 0.515], [0.814, 0.627, 0.083], [0.102, 0.205, 0.950], [0.426, 0.851, 0.919]]
}

***

#2
{
  "formula": "SrLiGaPd",
  "functional": "PBE-GGA",
  "state": "relaxed",
  "dos_at_fermi_per_ev_atom": 0.821,
  "space_group": "No. 216",
  "lattice_angstrom": [[-1.651, -3.750, 2.692], [-0.549, -4.425, -2.037], [3.027, -3.656, 1.228]],
  "species": ["Sr", "Ga", "Pd", "Li"],
  "fractional_positions": [[0.750, 0.750, 0.750], [0.250, 0.250, 0.250], [0.000, 0.000, 0.000], [0.500, 0.500, 0.500]]
}

***

Of them, #1 has the highest stability.

***

#1
{
  "formula": "SrLiGa2Pd",
  "functional": "PBE-GGA",
  "state": "relaxed",
  "dos_at_fermi_per_ev_atom": 0.668,
  "space_group": "No. 119",
  "lattice_angstrom": [[4.634, 0.000, 0.000], [0.000, 4.634, 0.000], [-2.317, -2.317, 4.880]],
  "species": ["Sr", "Li", "Ga", "Ga", "Pd"],
  "fractional_positions": [[0.000, 0.000, 0.000], [0.250, 0.750, 0.500], [0.633, 0.633, 0.266], [0.367, 0.367, 0.734], [0.750, 0.250, 0.500]]
}

***

#2
{
  "formula": "SrLiGa2Pd",
  "functional": "PBE-GGA",
  "state": "relaxed",
  "dos_at_fermi_per_ev_atom": 0.647,
  "space_group": "No. 123",
  "lattice_angstrom": [[4.865, 0.000, 0.000], [0.000, 4.865, 0.000], [0.000, 0.000, 4.884]],
  "species": ["Sr", "Ga", "Ga", "Pd", "Li"],
  "fractional_positions": [[0.500, 0.500, 0.500], [0.000, 0.500, 0.000], [0.500, 0.000, 0.000], [0.000, 0.000, 0.000], [0.000, 0.000, 0.500]]
}

***

Of them, #1 has the highest stability.

***

#1
{
  "formula": "LiGaTePd",
  "functional": "PBE-GGA",
  "state": "relaxed",
  "dos_at_fermi_per_ev_atom": 0.222,
  "space_group": "No. 6",
  "lattice_angstrom": [[4.117, 0.000, -0.068], [0.000, 3.067, 0.000], [-2.016, 0.000, 6.421]],
  "species": ["Li", "Ga", "Te", "Pd"],
  "fractional_positions": [[0.274, 0.500, 0.866], [0.598, 0.500, 0.525], [0.870, 0.000, 0.053], [0.079, 0.000, 0.487]]
}

***

#2
{
  "formula": "LiGaTePd",
  "functional": "PBE-GGA",
  "state": "relaxed",
  "dos_at_fermi_per_ev_atom": 0.178,
  "space_group": "No. 8",
  "lattice_angstrom": [[5.598, 0.000, -0.016], [0.000, 4.310, 0.000], [-3.205, 0.000, 6.693]],
  "species": ["Li", "Li", "Ga", "Ga", "Te", "Te", "Pd", "Pd"],
  "fractional_positions": [[0.722, 0.000, 0.621], [0.722, 0.500, 0.121], [0.979, 0.000, 0.041], [0.979, 0.500, 0.541], [0.391, 0.000, 0.845], [0.391, 0.500, 0.345], [0.131, 0.000, 0.425], [0.131, 0.500, 0.925]]
}

***

Of them, #1 has the highest stability.

***

#1
{
  "formula": "LiGaTePd",
  "functional": "PBE-GGA",
  "state": "relaxed",
  "dos_at_fermi_per_ev_atom": 0.317,
  "space_group": "No. 8",
  "lattice_angstrom": [[-4.577, -0.502, -3.894], [2.061, -0.463, -2.362], [1.021, -8.501, 2.557]],
  "species": ["Li", "Li", "Ga", "Ga", "Te", "Te", "Pd", "Pd"],
  "fractional_positions": [[0.853, 0.000, 0.413], [0.853, 0.500, 0.913], [0.535, 0.000, 0.060], [0.535, 0.500, 0.560], [0.041, 0.000, 0.716], [0.041, 0.500, 0.216], [0.503, 0.000, 0.775], [0.503, 0.500, 0.275]]
}

***

#2
{
  "formula": "LiGaTePd",
  "functional": "PBE-GGA",
  "state": "relaxed",
  "dos_at_fermi_per_ev_atom": 0.210,
  "space_group": "No. 1",
  "lattice_angstrom": [[4.304, -0.001, 0.005], [1.578, 4.149, 0.005], [0.021, 0.000, 4.979]],
  "species": ["Li", "Ga", "Te", "Pd"],
  "fractional_positions": [[0.750, 0.997, 0.977], [0.638, 0.566, 0.484], [0.114, 0.373, 0.985], [0.317, 0.174, 0.485]]
}

***

#3
{
  "formula": "LiGaTePd",
  "functional": "PBE-GGA",
  "state": "relaxed",
  "dos_at_fermi_per_ev_atom": 0.024,
  "space_group": "No. 1",
  "lattice_angstrom": [[4.582, 0.004, -0.006], [1.864, 4.195, 0.019], [1.865, 1.179, 4.344]],
  "species": ["Li", "Ga", "Te", "Pd"],
  "fractional_positions": [[0.126, 0.187, 0.804], [0.376, 0.440, 0.132], [0.908, 0.971, 0.461], [0.521, 0.583, 0.562]]
}

***

Of them, #3 has the highest stability.

***

#1
{
  "formula": "LiPmGa4",
  "functional": "PBE-GGA",
  "state": "relaxed",
  "dos_at_fermi_per_ev_atom": 0.449,
  "space_group": "No. 216",
  "lattice_angstrom": [[-4.452, 1.875, -2.651], [-4.792, 0.500, 2.675], [-1.996, 5.002, 1.164]],
  "species": ["Li", "Ga", "Ga", "Ga", "Ga", "Pm"],
  "fractional_positions": [[0.250, 0.250, 0.250], [0.625, 0.625, 0.125], [0.625, 0.125, 0.625], [0.625, 0.625, 0.625], [0.125, 0.625, 0.625], [0.000, 0.000, 0.000]]
}

***

#2
{
  "formula": "LiPmGa4",
  "functional": "PBE-GGA",
  "state": "relaxed",
  "dos_at_fermi_per_ev_atom": 0.321,
  "space_group": "No. 71",
  "lattice_angstrom": [[0.273, -1.040, 4.175], [2.535, -5.027, 0.809], [5.081, 1.280, 2.213]],
  "species": ["Li", "Pm", "Ga", "Ga", "Ga", "Ga"],
  "fractional_positions": [[0.000, 0.500, 0.000], [0.000, 0.000, 0.500], [0.664, 0.537, 0.635], [0.336, 0.463, 0.365], [0.336, 0.865, 0.963], [0.664, 0.135, 0.037]]
}

***

Of them, #2 has the highest stability.